Record 1
The following is a PBE-GGA calculation of a relaxed TiCuPt4 crystal, from Alexandria.

The structure in POSCAR format:
```
TiCuPt4
1.0
-1.979 1.451 1.333
-3.128 -6.372 2.290
5.049 0.154 7.326
Ti Cu Pt
2 2 8
direct
0.000 0.185 0.250
0.000 0.815 0.750
0.000 0.543 0.250
0.000 0.457 0.750
0.500 0.327 0.029
0.500 0.327 0.471
0.500 0.673 0.971
0.500 0.673 0.529
0.500 0.870 0.250
0.500 0.130 0.750
0.000 0.000 0.000
0.000 0.000 0.500
```

## Properties
ΔE_f: -417 meV/atom
magnetization: 0.000 μB per atom



Record 2
The following is a PBE-GGA calculation of a relaxed TiCu3Pt crystal, from Alexandria.

The structure in POSCAR format:
```
TiCu3Pt
1.0
4.460 0.000 0.000
0.000 4.460 0.000
0.000 0.000 4.460
Cu Pt Ti
3 1 1
direct
0.000 0.500 0.000
0.000 0.000 0.500
0.500 0.000 0.000
0.500 0.500 0.500
0.000 0.000 0.000
```

## Properties
ΔE_f: 1325 meV/atom
magnetization: 0.348 μB per atom